Record 1
The following is a DFT calculation (PBE) of crystalline KZn at its relaxed geometry.

abc: 7.639 7.639 5.106
angles: 90.00 90.00 120.01
Positions (direct):
K  0.816  0.184  0.500
K  0.816  0.631  0.500
K  0.000  0.000  0.000
K  0.369  0.184  0.500
Zn  0.105  0.552  0.000
Zn  0.333  0.667  0.500
Zn  0.448  0.895  0.000
Zn  0.448  0.552  0.000

=====

Record 2
The following is a DFT calculation (PBE) of crystalline KZn at its relaxed geometry.

abc: 8.805 8.351 5.748
angles: 90.00 90.00 105.74
Positions (direct):
Zn  0.609  0.726  0.000
Zn  0.688  0.044  0.000
Zn  0.236  0.030  0.500
Zn  0.614  0.330  0.500
Zn  0.534  0.012  0.500
Zn  0.986  0.026  0.000
K  0.854  0.469  0.000
K  0.272  0.831  0.000
K  0.832  0.779  0.500
K  0.950  0.224  0.500
K  0.390  0.277  0.000
K  0.368  0.586  0.500

=====

Record 3
The following is a DFT calculation (PBE) of crystalline KZn2 at its relaxed geometry.

abc: 17.832 3.587 4.737
angles: 90.00 90.00 90.00
Positions (direct):
Zn  0.489  0.500  0.000
Zn  0.061  0.000  0.500
Zn  0.383  0.000  0.000
Zn  0.883  0.500  0.000
Zn  0.561  0.500  0.500
Zn  0.989  0.000  0.000
Zn  0.455  0.000  0.500
Zn  0.955  0.500  0.500
K  0.649  0.000  0.000
K  0.796  0.000  0.500
K  0.296  0.500  0.500
K  0.149  0.500  0.000

=====

Record 4
The following is a DFT calculation (PBE) of crystalline KZn at its relaxed geometry.

abc: 5.314 13.079 5.308
angles: 90.00 90.00 90.01
Positions (direct):
Zn  0.559  0.898  0.000
Zn  0.059  0.935  0.000
Zn  0.361  0.954  0.500
Zn  0.861  0.879  0.500
Zn  0.391  0.473  0.000
Zn  0.891  0.361  0.000
K  0.390  0.713  0.500
K  0.369  0.330  0.500
K  0.890  0.120  0.500
K  0.869  0.504  0.500
K  0.429  0.141  0.000
K  0.929  0.692  0.000

=====

Record 5
The following is a DFT calculation (PBE) of crystalline KZn at its relaxed geometry.

abc: 6.501 7.743 5.109
angles: 90.00 90.00 90.00
Positions (direct):
K  0.814  0.701  0.500
K  0.814  0.299  0.500
K  0.392  0.000  0.500
K  0.993  0.000  0.000
Zn  0.311  0.500  0.500
Zn  0.106  0.500  0.000
Zn  0.452  0.675  0.000
Zn  0.452  0.325  0.000

=====

Record 6
The following is a DFT calculation (PBE) of crystalline KZn2 at its relaxed geometry.

abc: 5.239 11.913 4.524
angles: 90.00 90.00 90.00
Positions (direct):
Zn  0.796  0.773  0.500
Zn  0.537  0.773  0.000
Zn  0.296  0.273  0.500
Zn  0.037  0.727  0.000
Zn  0.037  0.273  0.000
Zn  0.796  0.227  0.500
Zn  0.296  0.727  0.500
Zn  0.537  0.227  0.000
K  0.900  0.500  0.500
K  0.400  0.000  0.500
K  0.434  0.500  0.000
K  0.933  0.000  0.000

=====

Record 7
The following is a DFT calculation (PBE) of crystalline KZn at its relaxed geometry.

abc: 6.627 10.489 4.928
angles: 90.00 90.00 71.51
Positions (direct):
Zn  0.975  0.928  0.000
Zn  0.891  0.655  0.500
Zn  0.745  0.946  0.500
Zn  0.147  0.800  0.500
Zn  0.103  0.671  0.000
K  0.103  0.118  0.500
K  0.522  0.800  0.000
K  0.527  0.173  0.000
K  0.421  0.482  0.500
K  0.899  0.428  0.000

=====

Record 8
The following is a DFT calculation (PBE) of crystalline KZn at its relaxed geometry.

abc: 4.918 4.918 4.918
angles: 60.00 60.00 60.00
Positions (direct):
K  0.000  0.000  0.000
Zn  0.500  0.500  0.500

=====

Looking at total DFT energy (no corrections) for the records above, in order, we have -0.925, -1.019, -1.060, -0.998, -0.959, -1.170, -1.052, -0.873 eV per atom.